A.
## AlB2Pd2 (PBE)

Data for a relaxed AlB2Pd2 crystal.

Lattice parameters (Å, degrees): 6.1966 6.1966 3.0461 90.00 90.00 90.00
Atoms (fractional coordinates):
Al1 0.0000 0.0000 0.0000
Al2 0.5000 0.5000 0.0000
B1 0.0924 0.4076 0.0000
B2 0.4076 0.9076 0.0000
B3 0.5924 0.0924 0.0000
B4 0.9076 0.5924 0.0000
Pd1 0.2296 0.7296 0.5000
Pd2 0.2704 0.2296 0.5000
Pd3 0.7296 0.7704 0.5000
Pd4 0.7704 0.2704 0.5000

Calculated values
The magnetization comes out at 0.00 μB per formula unit. As for the density of states at the Fermi level: 2.2 states/eV per cell.

---

B.
## AlB2Pd2 (PBE)

Data for a relaxed AlB2Pd2 crystal.

Lattice parameters (Å, degrees): 3.8979 3.8979 7.9803 90.00 90.00 90.00
Atoms (fractional coordinates):
Al1 0.0000 0.0000 0.0000
Al2 0.5000 0.5000 0.5000
B1 0.0000 0.0000 0.3978
B2 0.0000 0.0000 0.6022
B3 0.5000 0.5000 0.1022
B4 0.5000 0.5000 0.8978
Pd1 0.0000 0.5000 0.2500
Pd2 0.0000 0.5000 0.7500
Pd3 0.5000 0.0000 0.2500
Pd4 0.5000 0.0000 0.7500

Calculated values
The magnetization comes out at 0.00 μB per formula unit. As for the density of states at the Fermi level: 3.9 states/eV per cell.

---

What should be chosen as the most stable of them? Choose A.

---

A.
## AlBPt3 (PBE)

Data for a relaxed AlBPt3 crystal.

Lattice parameters (Å, degrees): 4.1983 4.1983 4.1983 90.00 90.00 90.00
Atoms (fractional coordinates):
Al1 0.0000 0.0000 0.0000
B1 0.5000 0.5000 0.5000
Pt1 0.0000 0.5000 0.5000
Pt2 0.5000 0.0000 0.5000
Pt3 0.5000 0.5000 0.0000

Calculated values
The magnetization comes out at 0.00 μB per formula unit. As for the density of states at the Fermi level: 2.3 states/eV per cell.

---

B.
## AlBPt3 (PBE)

Data for a relaxed AlBPt3 crystal.

Lattice parameters (Å, degrees): 5.4987 3.7301 6.9138 90.00 101.15 90.00
Atoms (fractional coordinates):
Al1 0.1725 0.2500 0.1288
Al2 0.8275 0.7500 0.8712
B1 0.2731 0.7500 0.5973
B2 0.7269 0.2500 0.4027
Pt1 0.0566 0.2500 0.6500
Pt2 0.3071 0.7500 0.9186
Pt3 0.4410 0.7500 0.3418
Pt4 0.5590 0.2500 0.6582
Pt5 0.6929 0.2500 0.0814
Pt6 0.9434 0.7500 0.3500

Calculated values
The magnetization comes out at 0.00 μB per formula unit. As for the density of states at the Fermi level: 1.7 states/eV per cell.

---

What should be chosen as the most stable of them? Choose B.

---

A.
## AlB2Pt2 (PBE)

Data for a relaxed AlB2Pt2 crystal.

Lattice parameters (Å, degrees): 3.2141 3.2141 11.8849 90.00 90.00 90.00
Atoms (fractional coordinates):
Al1 0.0000 0.0000 0.0000
Al2 0.5000 0.5000 0.5000
B1 0.0000 0.5000 0.2500
B2 0.0000 0.5000 0.7500
B3 0.5000 0.0000 0.2500
B4 0.5000 0.0000 0.7500
Pt1 0.0000 0.0000 0.3737
Pt2 0.0000 0.0000 0.6263
Pt3 0.5000 0.5000 0.1263
Pt4 0.5000 0.5000 0.8737

Calculated values
The magnetization comes out at 0.00 μB per formula unit. As for the density of states at the Fermi level: 1.7 states/eV per cell.

---

B.
## AlB2Pt2 (PBE)

Data for a relaxed AlB2Pt2 crystal.

Lattice parameters (Å, degrees): 6.3170 6.3170 3.0884 90.00 90.00 90.00
Atoms (fractional coordinates):
Al1 0.0000 0.0000 0.0000
Al2 0.5000 0.5000 0.0000
B1 0.0913 0.4087 0.0000
B2 0.4087 0.9087 0.0000
B3 0.5913 0.0913 0.0000
B4 0.9087 0.5913 0.0000
Pt1 0.2452 0.7452 0.5000
Pt2 0.2548 0.2452 0.5000
Pt3 0.7452 0.7548 0.5000
Pt4 0.7548 0.2548 0.5000

Calculated values
The magnetization comes out at 0.00 μB per formula unit. As for the density of states at the Fermi level: 2.9 states/eV per cell.

---

What should be chosen as the most stable of them? Choose A.

---

A.
## Al3BPt (PBE)

Data for a relaxed Al3BPt crystal.

Lattice parameters (Å, degrees): 4.1223 4.1223 4.1223 90.00 90.00 90.00
Atoms (fractional coordinates):
Al1 0.0000 0.0000 0.5000
Al2 0.0000 0.5000 0.0000
Al3 0.5000 0.0000 0.0000
B1 0.0000 0.0000 0.0000
Pt1 0.5000 0.5000 0.5000

Calculated values
The magnetization comes out at 0.00 μB per formula unit. As for the density of states at the Fermi level: 2.2 states/eV per cell.

---

B.
## Al3BPt (PBE)

Data for a relaxed Al3BPt crystal.

Lattice parameters (Å, degrees): 4.7211 4.7211 4.7211 90.00 90.00 90.00
Atoms (fractional coordinates):
Al1 0.0000 0.0000 0.5000
Al2 0.0000 0.5000 0.0000
Al3 0.5000 0.0000 0.0000
B1 0.5000 0.5000 0.5000
Pt1 0.0000 0.0000 0.0000

Calculated values
The magnetization comes out at 0.00 μB per formula unit. As for the density of states at the Fermi level: 3.7 states/eV per cell.

---

What should be chosen as the most stable of them? Choose A.